No. 1
# RbHBrF | Alexandria | PBE | relaxed
# crystal system = monoclinic
# size of the total moment = 0.00 μB per formula unit
# energy = -14.6 eV for the cell shown
# symmetry = Cm, No. 8
data_RbHBrF
_space_group_name_H-M_alt 'P 1'
_space_group_IT_number 1
_space_group_name_Hall 'P 1'
_cell_length_a 5.010
_cell_length_b 4.937
_cell_length_c 5.063
_cell_angle_alpha 98.65
_cell_angle_beta 90.00
_cell_angle_gamma 120.49
loop_
_atom_site_label
_atom_site_fract_x
_atom_site_fract_y
_atom_site_fract_z
_atom_site_occupancy
Br1 0.512 0.023 0.382 1
F1 0.232 0.465 0.948 1
Rb1 0.893 0.786 0.795 1
H1 0.317 0.635 0.114 1



No. 2
# Rb4HBrF2 | Alexandria | PBE | relaxed
# crystal system = monoclinic
# size of the total moment = 0.02 μB per formula unit
# energy = -26.7 eV for the cell shown
# symmetry = P2/m, No. 10
data_Rb4HBrF2
_space_group_name_H-M_alt 'P 1'
_space_group_IT_number 1
_space_group_name_Hall 'P 1'
_cell_length_a 4.335
_cell_length_b 7.651
_cell_length_c 7.541
_cell_angle_alpha 70.75
_cell_angle_beta 90.00
_cell_angle_gamma 90.00
loop_
_atom_site_label
_atom_site_fract_x
_atom_site_fract_y
_atom_site_fract_z
_atom_site_occupancy
Rb1 0.000 0.789 0.724 1
Rb2 0.500 0.226 0.744 1
Rb3 0.500 0.774 0.256 1
Rb4 0.000 0.211 0.276 1
Br1 0.500 0.500 0.000 1
H1 0.000 0.500 0.500 1
F1 0.000 0.000 0.000 1
F2 0.500 0.000 0.500 1



No. 3
# RbH2BrF2 | Alexandria | PBE | relaxed
# crystal system = monoclinic
# size of the total moment = 0.00 μB per formula unit
# energy = -44.8 eV for the cell shown
# symmetry = P2_1/m, No. 11
data_RbH2BrF2
_space_group_name_H-M_alt 'P 1'
_space_group_IT_number 1
_space_group_name_Hall 'P 1'
_cell_length_a 4.141
_cell_length_b 9.268
_cell_length_c 9.547
_cell_angle_alpha 138.48
_cell_angle_beta 90.00
_cell_angle_gamma 90.00
loop_
_atom_site_label
_atom_site_fract_x
_atom_site_fract_y
_atom_site_fract_z
_atom_site_occupancy
F1 0.250 0.791 0.825 1
F2 0.250 0.292 0.330 1
F3 0.750 0.209 0.175 1
F4 0.750 0.708 0.670 1
H1 0.497 0.761 0.754 1
H2 0.003 0.761 0.754 1
H3 0.997 0.239 0.246 1
H4 0.503 0.239 0.246 1
Br1 0.750 0.835 0.185 1
Br2 0.250 0.165 0.815 1
Rb1 0.750 0.331 0.689 1
Rb2 0.250 0.669 0.311 1



No. 4
# Rb4HBr2F | Alexandria | PBE | relaxed
# crystal system = monoclinic
# size of the total moment = 0.04 μB per formula unit
# energy = -24.8 eV for the cell shown
# symmetry = P2/m, No. 10
data_Rb4HBr2F
_space_group_name_H-M_alt 'P 1'
_space_group_IT_number 1
_space_group_name_Hall 'P 1'
_cell_length_a 4.537
_cell_length_b 7.863
_cell_length_c 8.012
_cell_angle_alpha 109.03
_cell_angle_beta 90.00
_cell_angle_gamma 90.00
loop_
_atom_site_label
_atom_site_fract_x
_atom_site_fract_y
_atom_site_fract_z
_atom_site_occupancy
Rb1 0.500 0.769 0.790 1
Rb2 0.000 0.256 0.789 1
Rb3 0.500 0.231 0.210 1
Rb4 0.000 0.744 0.211 1
Br1 0.000 0.500 0.500 1
Br2 0.500 0.000 0.500 1
H1 0.500 0.500 0.000 1
F1 0.000 0.000 0.000 1



No. 5
# Rb2HBrF6 | Alexandria | PBE | relaxed
# ΔE to the lowest computed polymorph = 0.4428 eV per atom
# crystal system = tetragonal
# size of the total moment = 0.00 μB per formula unit
# energy = -32.5 eV for the cell shown
# symmetry = I4/mmm, No. 139
data_Rb2HBrF6
_space_group_name_H-M_alt 'P 1'
_space_group_IT_number 1
_space_group_name_Hall 'P 1'
_cell_length_a 5.828
_cell_length_b 5.828
_cell_length_c 6.162
_cell_angle_alpha 61.78
_cell_angle_beta 61.78
_cell_angle_gamma 90.00
loop_
_atom_site_label
_atom_site_fract_x
_atom_site_fract_y
_atom_site_fract_z
_atom_site_occupancy
F1 0.297 0.703 0.000 1
F2 0.791 0.791 0.418 1
F3 0.703 0.703 0.000 1
F4 0.703 0.297 0.000 1
F5 0.297 0.297 0.000 1
F6 0.209 0.209 0.582 1
Rb1 0.750 0.250 0.500 1
Rb2 0.250 0.750 0.500 1
Br1 0.000 0.000 0.000 1
H1 0.500 0.500 0.000 1



No. 6
# RbHBrF6 | Alexandria | PBE | relaxed
# crystal system = triclinic
# size of the total moment = 0.00 μB per formula unit
# energy = -31.1 eV for the cell shown
# symmetry = P1, No. 1
data_RbHBrF6
_space_group_name_H-M_alt 'P 1'
_space_group_IT_number 1
_space_group_name_Hall 'P 1'
_cell_length_a 4.771
_cell_length_b 5.476
_cell_length_c 6.270
_cell_angle_alpha 85.57
_cell_angle_beta 88.91
_cell_angle_gamma 60.87
loop_
_atom_site_label
_atom_site_fract_x
_atom_site_fract_y
_atom_site_fract_z
_atom_site_occupancy
Br1 0.217 0.455 0.426 1
F1 0.289 0.324 0.149 1
F2 0.847 0.206 0.818 1
F3 0.028 0.819 0.285 1
F4 0.135 0.601 0.698 1
F5 0.724 0.441 0.445 1
F6 0.413 0.083 0.547 1
H1 0.810 0.277 0.667 1
Rb1 0.537 0.793 0.965 1



No. 7
# Rb6HBr3F2 | Alexandria | PBE | relaxed
# crystal system = monoclinic
# size of the total moment = 0.06 μB per formula unit
# energy = -38.9 eV for the cell shown
# symmetry = C2/m, No. 12
data_Rb6HBr3F2
_space_group_name_H-M_alt 'P 1'
_space_group_IT_number 1
_space_group_name_Hall 'P 1'
_cell_length_a 7.805
_cell_length_b 7.805
_cell_length_c 7.995
_cell_angle_alpha 99.37
_cell_angle_beta 99.37
_cell_angle_gamma 120.00
loop_
_atom_site_label
_atom_site_fract_x
_atom_site_fract_y
_atom_site_fract_z
_atom_site_occupancy
Rb1 0.589 0.931 0.791 1
Rb2 0.069 0.411 0.209 1
Rb3 0.272 0.272 0.793 1
Rb4 0.728 0.728 0.207 1
Rb5 0.411 0.069 0.209 1
Rb6 0.931 0.589 0.791 1
H1 0.000 0.000 0.000 1
F1 0.667 0.333 0.000 1
F2 0.333 0.667 0.000 1
Br1 0.836 0.164 0.500 1
Br2 0.164 0.836 0.500 1
Br3 0.500 0.500 0.500 1



No. 8
# RbHBr2F8 | Alexandria | PBE | relaxed
# crystal system = monoclinic
# size of the total moment = 0.00 μB per formula unit
# energy = -36.1 eV for the cell shown
# symmetry = C2/m, No. 12
data_RbHBr2F8
_space_group_name_H-M_alt 'P 1'
_space_group_IT_number 1
_space_group_name_Hall 'P 1'
_cell_length_a 6.137
_cell_length_b 6.332
_cell_length_c 7.258
_cell_angle_alpha 84.33
_cell_angle_beta 64.99
_cell_angle_gamma 61.02
loop_
_atom_site_label
_atom_site_fract_x
_atom_site_fract_y
_atom_site_fract_z
_atom_site_occupancy
F1 0.017 0.210 0.114 1
F2 0.436 0.281 0.847 1
F3 0.983 0.790 0.886 1
F4 0.564 0.719 0.153 1
F5 0.175 0.231 0.419 1
F6 0.825 0.769 0.581 1
F7 0.659 0.210 0.114 1
F8 0.341 0.790 0.886 1
Rb1 0.500 0.500 0.500 1
Br1 0.313 0.244 0.131 1
Br2 0.687 0.756 0.869 1
H1 0.000 0.000 0.000 1



What is the size of the total moment in the third record? 0.00 μB per formula unit



Repeat the eighth record exactly.
# RbHBr2F8 | Alexandria | PBE | relaxed
# crystal system = monoclinic
# size of the total moment = 0.00 μB per formula unit
# energy = -36.1 eV for the cell shown
# symmetry = C2/m, No. 12
data_RbHBr2F8
_space_group_name_H-M_alt 'P 1'
_space_group_IT_number 1
_space_group_name_Hall 'P 1'
_cell_length_a 6.137
_cell_length_b 6.332
_cell_length_c 7.258
_cell_angle_alpha 84.33
_cell_angle_beta 64.99
_cell_angle_gamma 61.02
loop_
_atom_site_label
_atom_site_fract_x
_atom_site_fract_y
_atom_site_fract_z
_atom_site_occupancy
F1 0.017 0.210 0.114 1
F2 0.436 0.281 0.847 1
F3 0.983 0.790 0.886 1
F4 0.564 0.719 0.153 1
F5 0.175 0.231 0.419 1
F6 0.825 0.769 0.581 1
F7 0.659 0.210 0.114 1
F8 0.341 0.790 0.886 1
Rb1 0.500 0.500 0.500 1
Br1 0.313 0.244 0.131 1
Br2 0.687 0.756 0.869 1
H1 0.000 0.000 0.000 1



Repeat the sixth record exactly.
# RbHBrF6 | Alexandria | PBE | relaxed
# crystal system = triclinic
# size of the total moment = 0.00 μB per formula unit
# energy = -31.1 eV for the cell shown
# symmetry = P1, No. 1
data_RbHBrF6
_space_group_name_H-M_alt 'P 1'
_space_group_IT_number 1
_space_group_name_Hall 'P 1'
_cell_length_a 4.771
_cell_length_b 5.476
_cell_length_c 6.270
_cell_angle_alpha 85.57
_cell_angle_beta 88.91
_cell_angle_gamma 60.87
loop_
_atom_site_label
_atom_site_fract_x
_atom_site_fract_y
_atom_site_fract_z
_atom_site_occupancy
Br1 0.217 0.455 0.426 1
F1 0.289 0.324 0.149 1
F2 0.847 0.206 0.818 1
F3 0.028 0.819 0.285 1
F4 0.135 0.601 0.698 1
F5 0.724 0.441 0.445 1
F6 0.413 0.083 0.547 1
H1 0.810 0.277 0.667 1
Rb1 0.537 0.793 0.965 1



Which value of energy does entry 8 give? -36.1 eV for the cell shown